1.
Pm3ScHg12 | PBE-GGA | optimized geometry

a = 4.657 Å, b = 4.657 Å, c = 18.369 Å
α = 90.00°, β = 90.00°, γ = 90.00°
Space group P4/mmm (No. 123)
Symmetry-distinct sites (fractional):
Pm  0.000  0.000  0.000 [1 per cell]
Pm  0.000  0.000  0.260 [2 per cell]
Sc  0.000  0.000  0.500 [1 per cell]
Hg  0.000  0.500  0.129 [4 per cell]
Hg  0.000  0.500  0.385 [4 per cell]
Hg  0.500  0.500  0.000 [1 per cell]
Hg  0.500  0.500  0.258 [2 per cell]
Hg  0.500  0.500  0.500 [1 per cell]

Calculated values
formation energy from the elements	-5.0	eV/f.u.
crystal system	tetragonal

=====

2.
PmSc7Hg4 | PBE-GGA | optimized geometry

a = 13.338 Å, b = 5.239 Å, c = 10.203 Å
α = 90.00°, β = 124.24°, γ = 90.00°
Space group C2/m (No. 12)
Symmetry-distinct sites (fractional):
Pm  0.000  0.000  0.000 [2 per cell]
Sc  0.000  0.500  0.000 [2 per cell]
Sc  0.060  0.000  0.383 [4 per cell]
Sc  0.193  0.500  0.626 [4 per cell]
Sc  0.215  0.000  0.874 [4 per cell]
Hg  0.075  0.500  0.785 [4 per cell]
Hg  0.190  0.500  0.330 [4 per cell]

Calculated values
formation energy from the elements	-0.8	eV/f.u.
crystal system	monoclinic

=====

3.
Pm5ScHg4 | PBE-GGA | optimized geometry

a = 3.779 Å, b = 3.779 Å, c = 19.705 Å
α = 90.00°, β = 90.00°, γ = 90.00°
Space group P4/mmm (No. 123)
Symmetry-distinct sites (fractional):
Pm  0.000  0.000  0.000 [1 per cell]
Pm  0.000  0.000  0.195 [2 per cell]
Pm  0.000  0.000  0.392 [2 per cell]
Sc  0.500  0.500  0.500 [1 per cell]
Hg  0.500  0.500  0.097 [2 per cell]
Hg  0.500  0.500  0.297 [2 per cell]

Calculated values
formation energy from the elements	-3.6	eV/f.u.
crystal system	tetragonal

=====

4.
Pm2ScHg3 | PBE-GGA | optimized geometry

a = 3.613 Å, b = 3.613 Å, c = 11.747 Å
α = 90.00°, β = 90.00°, γ = 90.00°
Space group P4/mmm (No. 123)
Symmetry-distinct sites (fractional):
Pm  0.000  0.000  0.179 [2 per cell]
Sc  0.000  0.000  0.500 [1 per cell]
Hg  0.500  0.500  0.000 [1 per cell]
Hg  0.500  0.500  0.360 [2 per cell]

Calculated values
formation energy from the elements	-2.7	eV/f.u.
crystal system	tetragonal

=====

5.
Pm3Sc2Hg3 | PBE-GGA | optimized geometry

a = 3.684 Å, b = 5.313 Å, c = 22.010 Å
α = 90.00°, β = 90.00°, γ = 90.00°
Space group Immm (No. 71)
Symmetry-distinct sites (fractional):
Pm  0.000  0.000  0.000 [2 per cell]
Pm  0.000  0.500  0.125 [4 per cell]
Sc  0.000  0.000  0.238 [4 per cell]
Hg  0.000  0.000  0.500 [2 per cell]
Hg  0.000  0.500  0.367 [4 per cell]

Calculated values
formation energy from the elements	-2.7	eV/f.u.
crystal system	orthorhombic

=====

6.
PmScSiHg | PBE-GGA | optimized geometry

a = 7.142 Å, b = 7.142 Å, c = 7.142 Å
α = 90.00°, β = 90.00°, γ = 90.00°
Space group F-43m (No. 216)
Symmetry-distinct sites (fractional):
Pm  0.000  0.000  0.000 [4 per cell]
Sc  0.000  0.000  0.500 [4 per cell]
Si  0.250  0.250  0.750 [4 per cell]
Hg  0.250  0.250  0.250 [4 per cell]

Calculated values
crystal system	cubic
E_form (uncorrected)	-0.42	eV per atom

=====

7.
PmSmScHg | PBE-GGA | optimized geometry

a = 7.560 Å, b = 7.560 Å, c = 7.560 Å
α = 90.00°, β = 90.00°, γ = 90.00°
Space group F-43m (No. 216)
Symmetry-distinct sites (fractional):
Pm  0.000  0.000  0.000 [4 per cell]
Sm  0.250  0.250  0.250 [4 per cell]
Sc  0.250  0.250  0.750 [4 per cell]
Hg  0.000  0.000  0.500 [4 per cell]

Calculated values
formation energy from the elements	-0.1	eV/f.u.
crystal system	cubic

=====

8.
PmScSnHg | PBE-GGA | optimized geometry

a = 7.391 Å, b = 7.391 Å, c = 7.391 Å
α = 90.00°, β = 90.00°, γ = 90.00°
Space group F-43m (No. 216)
Symmetry-distinct sites (fractional):
Pm  0.000  0.000  0.000 [4 per cell]
Sc  0.000  0.000  0.500 [4 per cell]
Sn  0.250  0.250  0.250 [4 per cell]
Hg  0.250  0.250  0.750 [4 per cell]

Calculated values
formation energy from the elements	-2.1	eV/f.u.
crystal system	cubic

=====

9.
TbPmScHg | PBE-GGA | optimized geometry

a = 7.509 Å, b = 7.509 Å, c = 7.509 Å
α = 90.00°, β = 90.00°, γ = 90.00°
Space group F-43m (No. 216)
Symmetry-distinct sites (fractional):
Tb  0.000  0.000  0.000 [4 per cell]
Pm  0.250  0.250  0.750 [4 per cell]
Sc  0.000  0.000  0.500 [4 per cell]
Hg  0.250  0.250  0.250 [4 per cell]

Calculated values
formation energy from the elements	-0.1	eV/f.u.
crystal system	cubic

=====

10.
PmScTcHg | PBE-GGA | optimized geometry

a = 7.036 Å, b = 7.036 Å, c = 7.036 Å
α = 90.00°, β = 90.00°, γ = 90.00°
Space group F-43m (No. 216)
Symmetry-distinct sites (fractional):
Pm  0.000  0.000  0.000 [4 per cell]
Sc  0.000  0.000  0.500 [4 per cell]
Tc  0.250  0.250  0.250 [4 per cell]
Hg  0.250  0.250  0.750 [4 per cell]

Calculated values
formation energy from the elements	-0.4	eV/f.u.
crystal system	cubic

=====

11.
PmTmSc2Hg4 | PBE-GGA | optimized geometry

a = 5.1346 Å, b = 5.1346 Å, c = 25.3545 Å
α = 90.00°, β = 90.00°, γ = 120.00°
Space group R-3m (No. 166, hexagonal axes)
Symmetry-distinct sites (fractional):
Pm  0.0000  0.0000  0.0000 [3 per cell]
Tm  0.0000  0.0000  0.5000 [3 per cell]
Sc  0.0000  0.0000  0.2493 [6 per cell]
Hg  0.0000  0.0000  0.1274 [6 per cell]
Hg  0.0000  0.0000  0.3785 [6 per cell]

Calculated values
formation energy from the elements	-3.5	eV/f.u.
crystal system	trigonal

=====

12.
PmYScHg | PBE-GGA | optimized geometry

a = 7.509 Å, b = 7.509 Å, c = 7.509 Å
α = 90.00°, β = 90.00°, γ = 90.00°
Space group F-43m (No. 216)
Symmetry-distinct sites (fractional):
Pm  0.000  0.000  0.000 [4 per cell]
Y  0.250  0.250  0.750 [4 per cell]
Sc  0.250  0.250  0.250 [4 per cell]
Hg  0.000  0.000  0.500 [4 per cell]

Calculated values
formation energy from the elements	-0.1	eV/f.u.
crystal system	cubic

=====

Result set for magnetic moment: 0.00, 0.00, 1.48, 0.59, 0.68, 0.00, 2.23, 0.00, 2.37, 0.00, 0.83, 2.54 μB/f.u., one per record in the order listed.